# 1
DFT (GGA-PBE) results for a relaxed structure of Cs3La2DyS6.

CIF file:
```
data_Cs3La2DyS6
_chemical_formula_sum 'Cs6 La4 Dy2 S12'
_cell_length_a 7.395
_cell_length_b 12.808
_cell_length_c 8.438
_cell_angle_alpha 90.00
_cell_angle_beta 106.99
_cell_angle_gamma 90.00
_symmetry_space_group_name_H-M 'C 1 2/m 1'
_symmetry_Int_Tables_number 12
_symmetry_space_group_name_Hall '-C 2y'
loop_
_atom_site_label
_atom_site_type_symbol
_atom_site_fract_x
_atom_site_fract_y
_atom_site_fract_z
_atom_site_occupancy
Cs1 Cs 0.000 0.000 0.000 1
Cs2 Cs 0.000 0.332 0.000 1
La1 La 0.000 0.167 0.500 1
Dy1 Dy 0.000 0.500 0.500 1
S1 S 0.222 0.339 0.684 1
S2 S 0.240 0.000 0.685 1
```

calculated volume = 31.8 Å³/atom
total energy = -5.35 eV per atom



# 2
DFT (GGA-PBE) results for a relaxed structure of AcSm2F11.

CIF file:
```
data_AcSm2F11
_chemical_formula_sum 'Ac4 Sm8 F44'
_cell_length_a 8.702
_cell_length_b 10.566
_cell_length_c 12.295
_cell_angle_alpha 90.00
_cell_angle_beta 90.00
_cell_angle_gamma 90.00
_symmetry_space_group_name_H-M 'I b a m'
_symmetry_Int_Tables_number 72
_symmetry_space_group_name_Hall '-I 2 2c'
loop_
_atom_site_label
_atom_site_type_symbol
_atom_site_fract_x
_atom_site_fract_y
_atom_site_fract_z
_atom_site_occupancy
Ac1 Ac 0.000 0.000 0.250 1
Sm1 Sm 0.157 0.311 0.000 1
F1 F 0.000 0.500 0.000 1
F2 F 0.109 0.306 0.500 1
F3 F 0.110 0.176 0.138 1
F4 F 0.211 0.079 0.373 1
```

calculated volume = 20.2 Å³/atom
total energy = -5.87 eV per atom



# 3
DFT (GGA-PBE) results for a relaxed structure of LaPmTmSn.

CIF file:
```
data_LaPmTmSn
_chemical_formula_sum 'La4 Pm4 Tm4 Sn4'
_cell_length_a 7.847
_cell_length_b 7.847
_cell_length_c 7.847
_cell_angle_alpha 90.00
_cell_angle_beta 90.00
_cell_angle_gamma 90.00
_symmetry_space_group_name_H-M 'F -4 3 m'
_symmetry_Int_Tables_number 216
_symmetry_space_group_name_Hall 'F -4 2 3'
loop_
_atom_site_label
_atom_site_type_symbol
_atom_site_fract_x
_atom_site_fract_y
_atom_site_fract_z
_atom_site_occupancy
La1 La 0.000 0.000 0.000 1
Pm1 Pm 0.000 0.000 0.500 1
Tm1 Tm 0.250 0.250 0.750 1
Sn1 Sn 0.250 0.250 0.250 1
```

calculated volume = 30.2 Å³/atom
ΔH_f (0 K) = -0.27 eV per atom



# 4
DFT (GGA-PBE) results for a relaxed structure of MgMnTlBr5.

CIF file:
```
data_MgMnTlBr5
_chemical_formula_sum 'Mg4 Mn4 Tl4 Br20'
_cell_length_a 9.292
_cell_length_b 12.350
_cell_length_c 9.921
_cell_angle_alpha 90.00
_cell_angle_beta 112.61
_cell_angle_gamma 90.00
_symmetry_space_group_name_H-M 'C 1 2/c 1'
_symmetry_Int_Tables_number 15
_symmetry_space_group_name_Hall '-C 2yc'
loop_
_atom_site_label
_atom_site_type_symbol
_atom_site_fract_x
_atom_site_fract_y
_atom_site_fract_z
_atom_site_occupancy
Mg1 Mg 0.000 0.000 0.000 1
Mn1 Mn 0.000 0.315 0.250 1
Tl1 Tl 0.000 0.338 0.750 1
Br1 Br 0.000 0.071 0.750 1
Br2 Br 0.110 0.202 0.103 1
Br3 Br 0.193 0.435 0.437 1
```

calculated volume = 32.8 Å³/atom
total energy = -3.72 eV per atom



# 5
DFT (GGA-PBE) results for a relaxed structure of KAs2Ru.

CIF file:
```
data_KAs2Ru
_chemical_formula_sum 'K2 As4 Ru2'
_cell_length_a 4.168
_cell_length_b 6.491
_cell_length_c 7.811
_cell_angle_alpha 90.00
_cell_angle_beta 90.00
_cell_angle_gamma 90.00
_symmetry_space_group_name_H-M 'I m m m'
_symmetry_Int_Tables_number 71
_symmetry_space_group_name_Hall '-I 2 2'
loop_
_atom_site_label
_atom_site_type_symbol
_atom_site_fract_x
_atom_site_fract_y
_atom_site_fract_z
_atom_site_occupancy
K1 K 0.000 0.000 0.000 1
As1 As 0.000 0.500 0.159 1
Ru1 Ru 0.000 0.000 0.500 1
```

calculated volume = 26.4 Å³/atom
ΔH_f (0 K) = 0.10 eV per atom
energy above the most stable polymorph in this dataset = 1.23 eV/f.u.



# 6
DFT (GGA-PBE) results for a relaxed structure of ZrTl2Tc.

CIF file:
```
data_ZrTl2Tc
_chemical_formula_sum 'Zr2 Tl4 Tc2'
_cell_length_a 3.312
_cell_length_b 5.305
_cell_length_c 9.818
_cell_angle_alpha 90.00
_cell_angle_beta 90.00
_cell_angle_gamma 90.00
_symmetry_space_group_name_H-M 'C m m m'
_symmetry_Int_Tables_number 65
_symmetry_space_group_name_Hall '-C 2 2'
loop_
_atom_site_label
_atom_site_type_symbol
_atom_site_fract_x
_atom_site_fract_y
_atom_site_fract_z
_atom_site_occupancy
Zr1 Zr 0.000 0.000 0.000 1
Tl1 Tl 0.000 0.500 0.267 1
Tc1 Tc 0.000 0.000 0.500 1
```

calculated volume = 21.6 Å³/atom
ΔH_f (0 K) = 0.51 eV per atom
energy above the most stable polymorph in this dataset = 1.09 eV/f.u.



# 7
DFT (GGA-PBE) results for a relaxed structure of LiPr2Ga3Rh4.

CIF file:
```
data_LiPr2Ga3Rh4
_chemical_formula_sum 'Li1 Pr2 Ga3 Rh4'
_cell_length_a 4.243
_cell_length_b 4.243
_cell_length_c 10.343
_cell_angle_alpha 90.00
_cell_angle_beta 90.00
_cell_angle_gamma 90.00
_symmetry_space_group_name_H-M 'P -4 m 2'
_symmetry_Int_Tables_number 115
_symmetry_space_group_name_Hall 'P -4 -2'
loop_
_atom_site_label
_atom_site_type_symbol
_atom_site_fract_x
_atom_site_fract_y
_atom_site_fract_z
_atom_site_occupancy
Li1 Li 0.000 0.000 0.000 1
Pr1 Pr 0.000 0.500 0.746 1
Ga1 Ga 0.000 0.500 0.375 1
Ga2 Ga 0.500 0.500 0.000 1
Rh1 Rh 0.000 0.000 0.500 1
Rh2 Rh 0.000 0.500 0.134 1
Rh3 Rh 0.500 0.500 0.500 1
```

calculated volume = 18.6 Å³/atom
ΔH_f (0 K) = -0.72 eV per atom



# 8
DFT (GGA-PBE) results for a relaxed structure of Er3AlTl3S8.

CIF file:
```
data_Er3AlTl3S8
_chemical_formula_sum 'Er6 Al2 Tl6 S16'
_cell_length_a 13.534
_cell_length_b 7.814
_cell_length_c 8.639
_cell_angle_alpha 90.00
_cell_angle_beta 121.42
_cell_angle_gamma 90.00
_symmetry_space_group_name_H-M 'C 1 2/m 1'
_symmetry_Int_Tables_number 12
_symmetry_space_group_name_Hall '-C 2y'
loop_
_atom_site_label
_atom_site_type_symbol
_atom_site_fract_x
_atom_site_fract_y
_atom_site_fract_z
_atom_site_occupancy
Er1 Er 0.000 0.000 0.000 1
Er2 Er 0.250 0.250 0.000 1
Al1 Al 0.000 0.500 0.000 1
Tl1 Tl 0.000 0.500 0.500 1
Tl2 Tl 0.250 0.250 0.500 1
S1 S 0.014 0.270 0.813 1
S2 S 0.216 0.500 0.188 1
S3 S 0.234 0.000 0.201 1
```

calculated volume = 26.0 Å³/atom
total energy = -5.13 eV per atom



# 9
DFT (GGA-PBE) results for a relaxed structure of SrSi2Tc2.

CIF file:
```
data_SrSi2Tc2
_chemical_formula_sum 'Sr2 Si4 Tc4'
_cell_length_a 7.567
_cell_length_b 7.567
_cell_length_c 2.924
_cell_angle_alpha 90.00
_cell_angle_beta 90.00
_cell_angle_gamma 90.00
_symmetry_space_group_name_H-M 'P 4/m b m'
_symmetry_Int_Tables_number 127
_symmetry_space_group_name_Hall '-P 4 2ab'
loop_
_atom_site_label
_atom_site_type_symbol
_atom_site_fract_x
_atom_site_fract_y
_atom_site_fract_z
_atom_site_occupancy
Sr1 Sr 0.000 0.000 0.000 1
Si1 Si 0.134 0.366 0.000 1
Tc1 Tc 0.142 0.642 0.500 1
```

calculated volume = 16.7 Å³/atom
energy above the most stable polymorph in this dataset = 1.43 eV/f.u.



# 10
DFT (GGA-PBE) results for a relaxed structure of Na2InGa.

CIF file:
```
data_Na2InGa
_chemical_formula_sum 'Na8 In4 Ga4'
_cell_length_a 11.356
_cell_length_b 4.722
_cell_length_c 9.215
_cell_angle_alpha 90.00
_cell_angle_beta 117.04
_cell_angle_gamma 90.00
_symmetry_space_group_name_H-M 'C 1 m 1'
_symmetry_Int_Tables_number 8
_symmetry_space_group_name_Hall 'C -2y'
loop_
_atom_site_label
_atom_site_type_symbol
_atom_site_fract_x
_atom_site_fract_y
_atom_site_fract_z
_atom_site_occupancy
Na1 Na 0.000 0.000 0.000 1
Na2 Na 0.001 0.000 0.496 1
Na3 Na 0.122 0.500 0.326 1
Na4 Na 0.385 0.000 0.671 1
In1 In 0.199 0.500 0.721 1
In2 In 0.305 0.000 0.269 1
Ga1 Ga 0.244 0.500 0.074 1
Ga2 Ga 0.252 0.000 0.915 1
```

calculated volume = 27.5 Å³/atom
ΔH_f (0 K) = -0.08 eV per atom
energy above the most stable polymorph in this dataset = 0.08 eV/f.u.



# 11
DFT (GGA-PBE) results for a relaxed structure of HfThCuTc.

CIF file:
```
data_HfThCuTc
_chemical_formula_sum 'Hf4 Th4 Cu4 Tc4'
_cell_length_a 6.853
_cell_length_b 6.853
_cell_length_c 6.853
_cell_angle_alpha 90.00
_cell_angle_beta 90.00
_cell_angle_gamma 90.00
_symmetry_space_group_name_H-M 'F -4 3 m'
_symmetry_Int_Tables_number 216
_symmetry_space_group_name_Hall 'F -4 2 3'
loop_
_atom_site_label
_atom_site_type_symbol
_atom_site_fract_x
_atom_site_fract_y
_atom_site_fract_z
_atom_site_occupancy
Hf1 Hf 0.000 0.000 0.000 1
Th1 Th 0.000 0.000 0.500 1
Cu1 Cu 0.250 0.250 0.750 1
Tc1 Tc 0.250 0.250 0.250 1
```

calculated volume = 20.1 Å³/atom
ΔH_f (0 K) = -0.10 eV per atom



# 12
DFT (GGA-PBE) results for a relaxed structure of Nd5Er6Th.

CIF file:
```
data_Nd5Er6Th
_chemical_formula_sum 'Nd10 Er12 Th2'
_cell_length_a 6.235
_cell_length_b 10.794
_cell_length_c 11.754
_cell_angle_alpha 90.00
_cell_angle_beta 100.17
_cell_angle_gamma 90.00
_symmetry_space_group_name_H-M 'C 1 2/m 1'
_symmetry_Int_Tables_number 12
_symmetry_space_group_name_Hall '-C 2y'
loop_
_atom_site_label
_atom_site_type_symbol
_atom_site_fract_x
_atom_site_fract_y
_atom_site_fract_z
_atom_site_occupancy
Nd1 Nd 0.000 0.000 0.000 1
Nd2 Nd 0.000 0.167 0.500 1
Nd3 Nd 0.000 0.333 0.000 1
Er1 Er 0.247 0.335 0.748 1
Er2 Er 0.247 0.500 0.252 1
Th1 Th 0.000 0.500 0.500 1
```

calculated volume = 32.4 Å³/atom
ΔH_f (0 K) = 0.02 eV per atom



# 13
DFT (GGA-PBE) results for a relaxed structure of Sm7DyIn4.

CIF file:
```
data_Sm7DyIn4
_chemical_formula_sum 'Sm14 Dy2 In8'
_cell_length_a 14.671
_cell_length_b 5.763
_cell_length_c 10.623
_cell_angle_alpha 90.00
_cell_angle_beta 123.59
_cell_angle_gamma 90.00
_symmetry_space_group_name_H-M 'C 1 2/m 1'
_symmetry_Int_Tables_number 12
_symmetry_space_group_name_Hall '-C 2y'
loop_
_atom_site_label
_atom_site_type_symbol
_atom_site_fract_x
_atom_site_fract_y
_atom_site_fract_z
_atom_site_occupancy
Sm1 Sm 0.000 0.000 0.000 1
Sm2 Sm 0.063 0.500 0.394 1
Sm3 Sm 0.207 0.500 0.880 1
Sm4 Sm 0.221 0.000 0.662 1
Dy1 Dy 0.000 0.500 0.000 1
In1 In 0.058 0.000 0.753 1
In2 In 0.181 0.000 0.334 1
```

calculated volume = 31.2 Å³/atom
ΔH_f (0 K) = -0.12 eV per atom



# 14
DFT (GGA-PBE) results for a relaxed structure of MnBe2Fe.

CIF file:
```
data_MnBe2Fe
_chemical_formula_sum 'Mn3 Be6 Fe3'
_cell_length_a 2.4073
_cell_length_b 2.4073
_cell_length_c 22.7550
_cell_angle_alpha 90.00
_cell_angle_beta 90.00
_cell_angle_gamma 120.00
_symmetry_space_group_name_H-M 'R -3 m'
_symmetry_Int_Tables_number 166
_symmetry_space_group_name_Hall '-R 3 2"'
loop_
_atom_site_label
_atom_site_type_symbol
_atom_site_fract_x
_atom_site_fract_y
_atom_site_fract_z
_atom_site_occupancy
Mn1 Mn 0.0000 0.0000 0.0000 1
Be1 Be 0.0000 0.0000 0.2489 1
Fe1 Fe 0.0000 0.0000 0.5000 1
```

calculated volume = 9.5 Å³/atom
ΔH_f (0 K) = 0.04 eV per atom



# 15
DFT (GGA-PBE) results for a relaxed structure of SbPb2Br2.

CIF file:
```
data_SbPb2Br2
_chemical_formula_sum 'Sb2 Pb4 Br4'
_cell_length_a 8.978
_cell_length_b 8.978
_cell_length_c 4.045
_cell_angle_alpha 90.00
_cell_angle_beta 90.00
_cell_angle_gamma 90.00
_symmetry_space_group_name_H-M 'P 4/m b m'
_symmetry_Int_Tables_number 127
_symmetry_space_group_name_Hall '-P 4 2ab'
loop_
_atom_site_label
_atom_site_type_symbol
_atom_site_fract_x
_atom_site_fract_y
_atom_site_fract_z
_atom_site_occupancy
Sb1 Sb 0.000 0.000 0.000 1
Pb1 Pb 0.193 0.307 0.000 1
Br1 Br 0.133 0.633 0.500 1
```

calculated volume = 32.6 Å³/atom
energy above the most stable polymorph in this dataset = 0.53 eV/f.u.



# 16
DFT (GGA-PBE) results for a relaxed structure of CaMg4Pb5.

CIF file:
```
data_CaMg4Pb5
_chemical_formula_sum 'Ca1 Mg4 Pb5'
_cell_length_a 3.847
_cell_length_b 3.847
_cell_length_c 18.282
_cell_angle_alpha 90.00
_cell_angle_beta 90.00
_cell_angle_gamma 90.00
_symmetry_space_group_name_H-M 'P 4/m m m'
_symmetry_Int_Tables_number 123
_symmetry_space_group_name_Hall '-P 4 2'
loop_
_atom_site_label
_atom_site_type_symbol
_atom_site_fract_x
_atom_site_fract_y
_atom_site_fract_z
_atom_site_occupancy
Ca1 Ca 0.000 0.000 0.000 1
Mg1 Mg 0.000 0.000 0.208 1
Mg2 Mg 0.000 0.000 0.403 1
Pb1 Pb 0.500 0.500 0.116 1
Pb2 Pb 0.500 0.500 0.306 1
Pb3 Pb 0.500 0.500 0.500 1
```

calculated volume = 27.1 Å³/atom
ΔH_f (0 K) = -0.14 eV per atom



# 17
DFT (GGA-PBE) results for a relaxed structure of CrTc2Pt.

CIF file:
```
data_CrTc2Pt
_chemical_formula_sum 'Cr2 Tc4 Pt2'
_cell_length_a 9.045
_cell_length_b 2.725
_cell_length_c 4.687
_cell_angle_alpha 90.00
_cell_angle_beta 101.18
_cell_angle_gamma 90.00
_symmetry_space_group_name_H-M 'C 1 2/m 1'
_symmetry_Int_Tables_number 12
_symmetry_space_group_name_Hall '-C 2y'
loop_
_atom_site_label
_atom_site_type_symbol
_atom_site_fract_x
_atom_site_fract_y
_atom_site_fract_z
_atom_site_occupancy
Cr1 Cr 0.000 0.000 0.000 1
Tc1 Tc 0.244 0.500 0.233 1
Pt1 Pt 0.000 0.500 0.500 1
```

calculated volume = 14.2 Å³/atom
ΔH_f (0 K) = 0.00 eV per atom
energy above the most stable polymorph in this dataset = 0.41 eV/f.u.



# 18
DFT (GGA-PBE) results for a relaxed structure of LaDyTh2.

CIF file:
```
data_LaDyTh2
_chemical_formula_sum 'La3 Dy3 Th6'
_cell_length_a 3.5889
_cell_length_b 3.5889
_cell_length_c 35.3938
_cell_angle_alpha 90.00
_cell_angle_beta 90.00
_cell_angle_gamma 120.00
_symmetry_space_group_name_H-M 'R 3 m'
_symmetry_Int_Tables_number 160
_symmetry_space_group_name_Hall 'R 3 -2"'
loop_
_atom_site_label
_atom_site_type_symbol
_atom_site_fract_x
_atom_site_fract_y
_atom_site_fract_z
_atom_site_occupancy
La1 La 0.0000 0.0000 0.0000 1
Dy1 Dy 0.0000 0.0000 0.1697 1
Th1 Th 0.0000 0.0000 0.5835 1
Th2 Th 0.0000 0.0000 0.7534 1
```

calculated volume = 32.9 Å³/atom
ΔH_f (0 K) = 0.05 eV per atom
energy above the most stable polymorph in this dataset = 0.07 eV/f.u.



# 19
DFT (GGA-PBE) results for a relaxed structure of PuAl4Pd2Pt.

CIF file:
```
data_PuAl4Pd2Pt
_chemical_formula_sum 'Pu3 Al12 Pd6 Pt3'
_cell_length_a 4.2805
_cell_length_b 4.2805
_cell_length_c 26.7009
_cell_angle_alpha 90.00
_cell_angle_beta 90.00
_cell_angle_gamma 120.00
_symmetry_space_group_name_H-M 'R -3 m'
_symmetry_Int_Tables_number 166
_symmetry_space_group_name_Hall '-R 3 2"'
loop_
_atom_site_label
_atom_site_type_symbol
_atom_site_fract_x
_atom_site_fract_y
_atom_site_fract_z
_atom_site_occupancy
Pu1 Pu 0.0000 0.0000 0.0000 1
Al1 Al 0.0000 0.0000 0.1322 1
Al2 Al 0.0000 0.0000 0.4026 1
Pd1 Pd 0.0000 0.0000 0.2377 1
Pt1 Pt 0.0000 0.0000 0.5000 1
```

calculated volume = 17.7 Å³/atom
ΔH_f (0 K) = -0.67 eV per atom



# 20
DFT (GGA-PBE) results for a relaxed structure of RbTeOs3.

CIF file:
```
data_RbTeOs3
_chemical_formula_sum 'Rb1 Te1 Os3'
_cell_length_a 4.808
_cell_length_b 4.808
_cell_length_c 4.808
_cell_angle_alpha 90.00
_cell_angle_beta 90.00
_cell_angle_gamma 90.00
_symmetry_space_group_name_H-M 'P m -3 m'
_symmetry_Int_Tables_number 221
_symmetry_space_group_name_Hall '-P 4 2 3'
loop_
_atom_site_label
_atom_site_type_symbol
_atom_site_fract_x
_atom_site_fract_y
_atom_site_fract_z
_atom_site_occupancy
Rb1 Rb 0.000 0.000 0.000 1
Te1 Te 0.500 0.500 0.500 1
Os1 Os 0.000 0.000 0.500 1
```

calculated volume = 22.2 Å³/atom
energy above the most stable polymorph in this dataset = 8.30 eV/f.u.